Entry 1:
Entry from Alexandria: LiMnBe at its PBEsol-relaxed geometry (meta-GGA SCAN).

abc: 2.288 2.288 6.215
angles: 98.18 98.18 103.15
Sites, in units of the cell vectors:
Be (0.990, 0.990, 0.980)
Mn (0.344, 0.344, 0.688)
Li (0.666, 0.666, 0.332)

E_form	0.23	eV/atom
total magnetization	0.027	μB/atom
E_tot	-8.10	eV per atom

Entry 2:
Entry from Alexandria: Sr4Ru at its PBEsol-relaxed geometry (meta-GGA SCAN).

abc: 6.340 6.340 6.340
angles: 109.47 109.47 109.47
Sites, in units of the cell vectors:
Ru (0.000, 0.000, 0.000)
Sr (0.000, 0.000, 0.500)
Sr (0.000, 0.500, 0.000)
Sr (0.500, 0.000, 0.000)
Sr (0.500, 0.500, 0.500)

E_form	0.42	eV/atom
total magnetization	0.071	μB/atom
E_tot	-24.37	eV per atom

Entry 3:
Entry from Alexandria: CdCoRh3 at its PBEsol-relaxed geometry (meta-GGA SCAN).

abc: 4.399 4.399 4.399
angles: 90.00 90.00 90.00
Sites, in units of the cell vectors:
Co (0.000, 0.000, 0.000)
Rh (0.000, 0.500, 0.000)
Rh (0.000, 0.000, 0.500)
Rh (0.500, 0.000, 0.000)
Cd (0.500, 0.500, 0.500)

E_form	0.79	eV/atom
total magnetization	0.860	μB/atom
E_tot	-29.01	eV per atom

Entry 4:
Entry from Alexandria: ZnAgPt2 at its PBEsol-relaxed geometry (meta-GGA SCAN).

abc: 2.788 4.760 4.849
angles: 104.30 106.70 90.00
Sites, in units of the cell vectors:
Zn (0.000, 0.500, 0.000)
Ag (0.500, 0.000, 0.000)
Pt (0.262, 0.258, 0.523)
Pt (0.738, 0.742, 0.477)

E_form	-0.25	eV/atom
total magnetization	0.000	μB/atom
E_tot	-46.56	eV per atom

Entry 5:
Entry from Alexandria: HgBi2P2 at its PBEsol-relaxed geometry (meta-GGA SCAN).

abc: 4.904 4.904 6.844
angles: 110.99 110.99 90.00
Sites, in units of the cell vectors:
P (0.250, 0.750, 0.500)
P (0.750, 0.250, 0.500)
Bi (0.357, 0.357, 0.713)
Bi (0.643, 0.643, 0.287)
Hg (0.000, 0.000, 0.000)

E_form	0.35	eV/atom
total magnetization	0.000	μB/atom
E_tot	-48.87	eV per atom

Entry 6:
Entry from Alexandria: Li2Ni3SbO8 at its PBEsol-relaxed geometry (meta-GGA SCAN).

abc: 5.777 5.777 10.303
angles: 73.72 73.72 60.00
Sites, in units of the cell vectors:
Li (0.936, 0.936, 0.192)
Li (0.436, 0.436, 0.692)
Li (0.564, 0.564, 0.308)
Li (0.064, 0.064, 0.808)
Ni (0.500, 0.000, 0.000)
Ni (0.500, 0.500, 0.000)
Ni (0.500, 0.000, 0.500)
Ni (0.000, 0.500, 0.500)
Ni (0.000, 0.000, 0.500)
Ni (0.000, 0.500, 0.000)
Sb (0.750, 0.750, 0.750)
Sb (0.250, 0.250, 0.250)
O (0.864, 0.864, 0.407)
O (0.364, 0.364, 0.907)
O (0.636, 0.636, 0.093)
O (0.136, 0.136, 0.593)
O (0.102, 0.627, 0.619)
O (0.602, 0.152, 0.119)
O (0.627, 0.652, 0.619)
O (0.152, 0.127, 0.119)
O (0.652, 0.102, 0.619)
O (0.127, 0.602, 0.119)
O (0.873, 0.398, 0.881)
O (0.348, 0.898, 0.381)
O (0.848, 0.873, 0.881)
O (0.373, 0.348, 0.381)
O (0.398, 0.848, 0.881)
O (0.898, 0.373, 0.381)

energy relative to the elements, uncorrected	-1.564	eV/atom
E above lowest polymorph	0.27	eV/f.u.
total magnetization	0.214	μB/atom
E_tot	-11.59	eV per atom

Entry 7:
Entry from Alexandria: BaHo2Te4 at its PBEsol-relaxed geometry (meta-GGA SCAN).

abc: 4.397 13.531 15.999
angles: 90.00 90.00 90.00
Sites, in units of the cell vectors:
Ba (0.750, 0.262, 0.170)
Ba (0.250, 0.238, 0.670)
Ba (0.250, 0.738, 0.830)
Ba (0.750, 0.762, 0.330)
Ho (0.750, 0.420, 0.904)
Ho (0.250, 0.080, 0.404)
Ho (0.250, 0.580, 0.096)
Ho (0.750, 0.920, 0.596)
Ho (0.750, 0.941, 0.109)
Ho (0.250, 0.559, 0.609)
Ho (0.250, 0.059, 0.891)
Ho (0.750, 0.441, 0.391)
Te (0.750, 0.409, 0.577)
Te (0.250, 0.091, 0.077)
Te (0.250, 0.591, 0.423)
Te (0.750, 0.909, 0.923)
Te (0.750, 0.205, 0.841)
Te (0.250, 0.295, 0.341)
Te (0.250, 0.795, 0.159)
Te (0.750, 0.705, 0.659)
Te (0.750, 0.129, 0.528)
Te (0.250, 0.371, 0.028)
Te (0.250, 0.871, 0.472)
Te (0.750, 0.629, 0.972)
Te (0.750, 0.027, 0.284)
Te (0.250, 0.473, 0.784)
Te (0.250, 0.973, 0.716)
Te (0.750, 0.527, 0.216)

energy relative to the elements, uncorrected	-1.702	eV/atom
total magnetization	0.000	μB/atom
E_tot	-42.63	eV per atom

Entry 8:
Entry from Alexandria: Re2Os at its PBEsol-relaxed geometry (meta-GGA SCAN).

abc: 2.700 4.331 4.331
angles: 120.00 90.00 90.00
Sites, in units of the cell vectors:
Os (0.500, 0.000, 0.000)
Re (0.000, 0.333, 0.667)
Re (0.000, 0.667, 0.333)

E above lowest polymorph	0.73	eV/f.u.
E_form	0.15	eV/atom
total magnetization	0.000	μB/atom
E_tot	-71.21	eV per atom